No. 1
# Ag2P2PbO7

A relaxed Ag2P2PbO7 crystal (GGA-PBEsol, the Alexandria database).

```
Ag2P2PbO7
1.0
5.284 0.000 0.000
2.437 6.371 0.000
0.271 3.136 9.764
Ag P Pb O
4 4 2 14
Direct
0.161 0.203 0.027
0.234 0.954 0.832
0.766 0.046 0.168
0.839 0.797 0.973
0.393 0.596 0.163
0.393 0.830 0.359
0.607 0.170 0.641
0.607 0.404 0.837
0.002 0.649 0.633
0.998 0.351 0.367
0.161 0.527 0.131
0.213 0.062 0.266
0.302 0.224 0.659
0.308 0.659 0.304
0.325 0.793 0.507
0.332 0.597 0.800
0.411 0.801 0.057
0.589 0.199 0.943
0.668 0.403 0.200
0.675 0.207 0.493
0.692 0.341 0.696
0.698 0.776 0.341
0.787 0.938 0.734
0.839 0.473 0.869
```

The total moment comes out at 0.000 μB per atom. The calculation puts the raw total energy at -6.47 eV/atom. Its symmetry is P-1.

No. 2
# ReAgPO2

A relaxed ReAgPO2 crystal (GGA-PBEsol, the Alexandria database).

```
ReAgPO2
1.0
3.731 0.000 0.000
0.000 3.731 0.000
0.000 0.000 5.101
Re Ag P O
1 1 1 2
Direct
0.000 0.000 0.000
0.500 0.500 0.500
0.000 0.000 0.500
0.000 0.500 0.000
0.500 0.000 0.000
```

The total moment comes out at 0.000 μB per atom. The calculation puts the raw total energy at -7.27 eV/atom. Its symmetry is P4/mmm.

No. 3
# Ag5PSeO4

A relaxed Ag5PSeO4 crystal (GGA-PBEsol, the Alexandria database).

```
Ag5PSeO4
1.0
6.786 0.000 0.000
0.000 6.786 0.000
0.000 0.000 7.207
Ag P Se O
10 2 2 8
Direct
0.033 0.033 0.192
0.033 0.467 0.192
0.250 0.250 0.464
0.467 0.033 0.192
0.467 0.467 0.192
0.533 0.533 0.808
0.533 0.967 0.808
0.750 0.750 0.536
0.967 0.533 0.808
0.967 0.967 0.808
0.250 0.750 0.500
0.750 0.250 0.500
0.250 0.250 0.986
0.750 0.750 0.014
0.062 0.750 0.375
0.250 0.562 0.625
0.250 0.938 0.625
0.438 0.750 0.375
0.562 0.250 0.625
0.750 0.062 0.375
0.750 0.438 0.375
0.938 0.250 0.625
```

The total moment comes out at 0.000 μB per atom. The calculation puts the raw total energy at -5.11 eV/atom. Its symmetry is P4/nmm.

So what do the calculations give for ΔE_f (raw)? Going down the list: -35.95 -15.75 -18.97 kcal/mol of atoms.